# 1
# SmErRu2

SmErRu2 after structural relaxation (PBEsol, Alexandria).

CIF file:
```
data_SmErRu2
_chemical_formula_sum 'Sm4 Er4 Ru8'
_cell_length_a 6.722
_cell_length_b 6.722
_cell_length_c 6.722
_cell_angle_alpha 90.00
_cell_angle_beta 90.00
_cell_angle_gamma 90.00
_symmetry_space_group_name_H-M 'F m -3 m'
_symmetry_Int_Tables_number 225
_symmetry_space_group_name_Hall '-F 4 2 3'
loop_
_atom_site_label
_atom_site_type_symbol
_atom_site_fract_x
_atom_site_fract_y
_atom_site_fract_z
Sm1 Sm 0.000 0.000 0.000
Er1 Er 0.000 0.000 0.500
Ru1 Ru 0.250 0.250 0.250
```

Output
Density of states at the Fermi level = 3.57 states/eV/f.u.
V = 19.0 Å³/atom
ΔH_f (0 K) = -0.8 eV/f.u.


# 2
# KBa3

KBa3 after structural relaxation (PBEsol, Alexandria).

CIF file:
```
data_KBa3
_chemical_formula_sum 'K1 Ba3'
_cell_length_a 4.264
_cell_length_b 7.087
_cell_length_c 8.179
_cell_angle_alpha 90.00
_cell_angle_beta 98.63
_cell_angle_gamma 90.00
_symmetry_space_group_name_H-M 'P 1 2/m 1'
_symmetry_Int_Tables_number 10
loop_
_symmetry_equiv_pos_as_xyz
'x,y,z'
'-x,-y,-z'
'-x,y,-z'
'x,-y,z'
loop_
_atom_site_label
_atom_site_type_symbol
_atom_site_fract_x
_atom_site_fract_y
_atom_site_fract_z
K1 K 0.000 0.000 0.000
Ba1 Ba 0.233 0.500 0.744
Ba2 Ba 0.500 0.000 0.500
```

Output
Excess energy over the best structure of this formula in the dataset = 34 meV/atom
Density of states at the Fermi level = 6.15 states/eV/f.u.
V = 61.1 Å³/atom
ΔH_f (0 K) = 0.3 eV/f.u.


# 3
# NaCa2Tl2

NaCa2Tl2 after structural relaxation (PBEsol, Alexandria).

CIF file:
```
data_NaCa2Tl2
_chemical_formula_sum 'Na2 Ca4 Tl4'
_cell_length_a 4.478
_cell_length_b 4.478
_cell_length_c 17.230
_cell_angle_alpha 90.00
_cell_angle_beta 90.00
_cell_angle_gamma 90.00
_symmetry_space_group_name_H-M 'I 4/m m m'
_symmetry_Int_Tables_number 139
_symmetry_space_group_name_Hall '-I 4 2'
loop_
_atom_site_label
_atom_site_type_symbol
_atom_site_fract_x
_atom_site_fract_y
_atom_site_fract_z
Na1 Na 0.000 0.000 0.000
Ca1 Ca 0.000 0.000 0.388
Tl1 Tl 0.000 0.500 0.250
```

Output
Excess energy over the best structure of this formula in the dataset = 311 meV/atom
Density of states at the Fermi level = 3.93 states/eV/f.u.
V = 34.5 Å³/atom
ΔH_f (0 K) = -0.1 eV/f.u.


> Among the records above, which one has the highest V?

KBa3